VASP calculation (PBE) on an optimized crystal structure of Er2MgH8.

Cell and atoms, written as POSCAR:
```
Er2MgH8
1.0
3.491 0.000 -1.063
-0.701 4.058 -2.305
-0.046 0.722 6.117
H Mg Er
8 1 2
Direct
0.357 0.598 0.715
0.643 0.883 0.285
0.000 0.255 0.000
0.195 0.195 0.391
0.000 0.745 0.000
0.805 0.805 0.609
0.357 0.117 0.715
0.643 0.402 0.285
0.500 0.000 0.000
0.172 0.672 0.345
0.828 0.328 0.655
```

Its total energy is -3.886 eV/atom. The calculation puts the total magnetization at 0.0 μB per formula unit. The calculated density comes out at 6.56 g/cm3.

VASP calculation (PBE) on an optimized crystal structure of ErMgNi2H8.

Cell and atoms, written as POSCAR:
```
ErMgNi2H8
1.0
-0.186 3.974 2.287
-4.064 1.858 1.044
-1.447 -0.764 5.814
H Er Mg Ni
8 1 1 2
Direct
0.410 0.691 0.809
0.691 0.090 0.809
0.910 0.590 0.191
0.309 0.910 0.191
0.177 0.177 0.469
0.590 0.309 0.191
0.823 0.823 0.531
0.090 0.410 0.809
0.500 0.500 0.500
0.000 0.000 0.000
0.730 0.730 0.809
0.270 0.270 0.191
```

Its total energy is -3.836 eV/atom. The calculation puts the total magnetization at 0.0 μB per formula unit. The calculated density comes out at 5.32 g/cm3.

VASP calculation (PBE) on an optimized crystal structure of ErMgNi2H6.

Cell and atoms, written as POSCAR:
```
ErMgNi2H6
1.0
4.350 0.000 0.000
2.175 3.768 0.000
2.175 1.256 5.106
H Ni Mg Er
6 2 1 1
Direct
0.564 0.564 0.813
0.059 0.564 0.813
0.436 0.436 0.187
0.436 0.941 0.187
0.564 0.059 0.813
0.941 0.436 0.187
0.211 0.211 0.366
0.789 0.789 0.634
0.500 0.500 0.500
0.000 0.000 0.000
```

Its total energy is -4.061 eV/atom. The calculation puts the total magnetization at 0.0 μB per formula unit. The calculated density comes out at 6.25 g/cm3.

VASP calculation (PBE) on an optimized crystal structure of ErHN.

Cell and atoms, written as POSCAR:
```
ErHN
1.0
3.451 -0.373 0.000
-1.354 3.196 0.000
0.000 0.000 6.091
H N Er
2 2 2
Direct
0.747 0.253 0.250
0.253 0.747 0.750
0.309 0.691 0.250
0.691 0.309 0.750
0.000 0.000 0.000
0.000 0.000 0.500
```

Its total energy is -5.817 eV/atom. The calculation puts the total magnetization at 0.0 μB per formula unit. The calculated density comes out at 9.44 g/cm3.

VASP calculation (PBE) on an optimized crystal structure of Er4HN3.

Cell and atoms, written as POSCAR:
```
Er4HN3
1.0
-3.198 0.033 1.251
-1.268 -4.865 -3.111
1.256 -4.718 3.336
H Er N
1 4 3
Direct
0.500 0.500 0.000
0.500 0.246 0.746
0.000 0.767 0.733
0.500 0.755 0.255
0.000 0.233 0.267
0.000 0.500 0.500
0.000 0.000 0.000
0.500 0.000 0.500
```

Its total energy is -7.237 eV/atom. The calculation puts the total magnetization at 0.0 μB per formula unit. The calculated density comes out at 10.37 g/cm3.

VASP calculation (PBE) on an optimized crystal structure of Na2ErH6.

Cell and atoms, written as POSCAR:
```
Na2ErH6
1.0
4.840 0.000 2.794
1.613 4.563 2.794
0.000 0.000 5.589
H Er Na
6 1 2
Direct
0.266 0.266 0.734
0.266 0.734 0.266
0.266 0.734 0.734
0.734 0.266 0.734
0.734 0.266 0.266
0.734 0.734 0.266
0.000 0.000 0.000
0.250 0.250 0.250
0.750 0.750 0.750
```

Its total energy is -2.809 eV/atom. The calculation puts the total magnetization at 0.0 μB per formula unit. The calculated density comes out at 2.95 g/cm3.

VASP calculation (PBE) on an optimized crystal structure of ErNbH3.

Cell and atoms, written as POSCAR:
```
ErNbH3
1.0
3.759 0.000 0.000
0.000 3.759 0.000
0.000 0.000 3.759
Nb Er H
1 1 3
Direct
0.000 0.000 0.000
0.500 0.500 0.500
0.500 0.000 0.000
0.000 0.000 0.500
0.000 0.500 0.000
```

Its total energy is -5.253 eV/atom. The calculation puts the total magnetization at 0.0 μB per formula unit. The calculated density comes out at 8.23 g/cm3.

VASP calculation (PBE) on an optimized crystal structure of Er2NbH.

Cell and atoms, written as POSCAR:
```
Er2NbH
1.0
-2.745 1.316 0.994
-2.448 0.329 -2.038
-4.679 -7.319 1.923
Er Nb H
2 1 1
Direct
0.112 0.112 0.663
0.888 0.888 0.337
0.000 0.000 0.000
0.500 0.500 0.500
```

Its total energy is -5.317 eV/atom. The calculation puts the total magnetization at 0.0 μB per formula unit. The calculated density comes out at 9.21 g/cm3.

VASP calculation (PBE) on an optimized crystal structure of Er3Nb5H12.

Cell and atoms, written as POSCAR:
```
Er3Nb5H12
1.0
10.232 0.000 0.000
-3.411 9.647 0.000
-3.411 -4.823 8.354
H Nb Er
48 20 12
Direct
0.337 0.785 0.420
0.285 0.865 0.948
0.083 0.920 0.135
0.552 0.215 0.135
0.163 0.080 0.715
0.837 0.920 0.285
0.920 0.083 0.635
0.552 0.337 0.917
0.135 0.715 0.552
0.080 0.917 0.365
0.163 0.083 0.948
0.583 0.635 0.420
0.948 0.583 0.163
0.285 0.420 0.837
0.583 0.948 0.663
0.580 0.865 0.417
0.420 0.285 0.337
0.635 0.583 0.920
0.135 0.420 0.083
0.635 0.052 0.215
0.948 0.365 0.285
0.417 0.052 0.337
0.663 0.215 0.580
0.420 0.135 0.583
0.920 0.837 0.785
0.865 0.285 0.448
0.715 0.580 0.163
0.417 0.365 0.580
0.663 0.448 0.583
0.215 0.663 0.080
0.917 0.837 0.552
0.785 0.448 0.365
0.448 0.785 0.865
0.785 0.337 0.920
0.052 0.417 0.837
0.917 0.080 0.865
0.337 0.552 0.417
0.865 0.580 0.917
0.365 0.417 0.080
0.052 0.635 0.715
0.448 0.663 0.083
0.080 0.163 0.215
0.580 0.715 0.663
0.215 0.552 0.635
0.837 0.917 0.052
0.715 0.135 0.052
0.365 0.948 0.785
0.083 0.163 0.448
0.250 0.375 0.625
0.750 0.625 0.375
0.000 0.500 0.000
0.500 0.500 0.000
0.625 0.750 0.875
0.625 0.875 0.250
0.000 0.000 0.500
0.750 0.125 0.875
0.250 0.875 0.125
0.500 0.000 0.500
0.875 0.250 0.625
0.500 0.000 0.000
0.000 0.500 0.500
0.375 0.250 0.125
0.000 0.000 0.000
0.125 0.750 0.375
0.875 0.625 0.750
0.500 0.500 0.500
0.125 0.375 0.250
0.375 0.125 0.750
0.375 0.750 0.625
0.875 0.125 0.250
0.625 0.375 0.750
0.375 0.625 0.250
0.750 0.375 0.125
0.625 0.250 0.375
0.250 0.625 0.875
0.125 0.875 0.750
0.125 0.250 0.875
0.875 0.750 0.125
0.250 0.125 0.375
0.750 0.875 0.625
```

Its total energy is -5.529 eV/atom. The calculation puts the total magnetization at 0.0 μB per formula unit. The calculated density comes out at 7.88 g/cm3.

VASP calculation (PBE) on an optimized crystal structure of ErNbH2.

Cell and atoms, written as POSCAR:
```
ErNbH2
1.0
-1.174 2.941 -0.788
-3.208 0.414 -0.432
-1.997 2.266 4.678
H Er Nb
2 1 1
Direct
0.727 0.727 0.820
0.273 0.273 0.180
0.500 0.500 0.500
0.000 0.000 0.000
```

Its total energy is -5.491 eV/atom. The calculation puts the total magnetization at 0.0 μB per formula unit. The calculated density comes out at 9.01 g/cm3.

VASP calculation (PBE) on an optimized crystal structure of NdEr2H.

Cell and atoms, written as POSCAR:
```
NdEr2H
1.0
3.472 0.000 0.000
1.736 3.007 0.000
1.736 1.002 9.480
Er Nd H
2 1 1
Direct
0.879 0.879 0.362
0.121 0.121 0.638
0.000 0.000 0.000
0.500 0.500 0.500
```

Its total energy is -4.351 eV/atom. The calculation puts the total magnetization at 0.0 μB per formula unit. The calculated density comes out at 8.05 g/cm3.

VASP calculation (PBE) on an optimized crystal structure of Nd2ErH8.

Cell and atoms, written as POSCAR:
```
Nd2ErH8
1.0
3.620 0.000 -1.102
-0.776 4.492 -2.551
-0.004 0.645 6.485
Nd H Er
2 8 1
Direct
0.832 0.332 0.664
0.168 0.668 0.336
0.000 0.248 0.000
0.347 0.594 0.693
0.000 0.752 0.000
0.653 0.406 0.307
0.167 0.167 0.334
0.833 0.833 0.666
0.653 0.901 0.307
0.347 0.099 0.693
0.500 0.000 0.000
```

Its total energy is -4.307 eV/atom. The calculation puts the total magnetization at 0.0 μB per formula unit. The calculated density comes out at 6.88 g/cm3.

VASP calculation (PBE) on an optimized crystal structure of NdErH2.

Cell and atoms, written as POSCAR:
```
NdErH2
1.0
3.537 0.000 0.000
1.769 3.063 0.000
1.769 1.021 5.750
H Er Nd
2 1 1
Direct
0.743 0.743 0.772
0.257 0.257 0.228
0.000 0.000 0.000
0.500 0.500 0.500
```

Its total energy is -4.373 eV/atom. The calculation puts the total magnetization at 0.0 μB per formula unit. The calculated density comes out at 8.36 g/cm3. The value obtained for the relative energy among the computed polymorphs is 0.0 kJ/mol of atoms.

VASP calculation (PBE) on an optimized crystal structure of NdErH2.

Cell and atoms, written as POSCAR:
```
NdErH2
1.0
3.531 0.000 0.000
1.765 3.058 0.000
1.765 1.019 5.994
Er Nd H
1 1 2
Direct
0.669 0.669 0.992
0.490 0.490 0.529
0.070 0.070 0.791
0.271 0.271 0.187
```

Its total energy is -4.288 eV/atom. The calculation puts the total magnetization at 0.0 μB per formula unit. The calculated density comes out at 8.04 g/cm3. The value obtained for the relative energy among the computed polymorphs is 8.2 kJ/mol of atoms.

VASP calculation (PBE) on an optimized crystal structure of NdEr2H8.

Cell and atoms, written as POSCAR:
```
NdEr2H8
1.0
-3.316 0.744 -1.341
-0.548 -5.003 -1.420
-0.298 0.988 6.261
H Er Nd
8 2 1
Direct
0.667 0.899 0.333
0.000 0.712 0.000
0.333 0.101 0.667
0.667 0.435 0.333
0.843 0.843 0.686
0.333 0.565 0.667
0.157 0.157 0.314
0.000 0.288 0.000
0.170 0.670 0.340
0.830 0.330 0.660
0.500 0.000 0.000
```

Its total energy is -4.308 eV/atom. The calculation puts the total magnetization at 0.0 μB per formula unit. The calculated density comes out at 7.71 g/cm3.

VASP calculation (PBE) on an optimized crystal structure of Nd3ErH8.

Cell and atoms, written as POSCAR:
```
Nd3ErH8
1.0
5.380 0.000 0.000
0.000 5.380 0.000
0.000 0.000 5.380
H Er Nd
8 1 3
Direct
0.240 0.760 0.240
0.760 0.760 0.240
0.760 0.240 0.240
0.240 0.240 0.240
0.760 0.240 0.760
0.240 0.240 0.760
0.760 0.760 0.760
0.240 0.760 0.760
0.000 0.000 0.000
0.000 0.500 0.500
0.500 0.500 0.000
0.500 0.000 0.500
```

Its total energy is -4.474 eV/atom. The calculation puts the total magnetization at 0.0 μB per formula unit. The calculated density comes out at 6.49 g/cm3.

VASP calculation (PBE) on an optimized crystal structure of PmNd2ErH.

Cell and atoms, written as POSCAR:
```
PmNd2ErH
1.0
-2.637 -4.304 0.193
0.913 -0.334 5.041
-4.283 2.667 0.952
Nd Er Pm H
2 1 1 1
Direct
0.000 0.000 0.500
0.000 0.500 0.000
0.500 0.000 0.000
0.500 0.500 0.500
0.000 0.000 0.000
```

Its total energy is -4.611 eV/atom. The calculation puts the total magnetization at 0.0 μB per formula unit. The calculated density comes out at 7.50 g/cm3.

VASP calculation (PBE) on an optimized crystal structure of PrNd2ErH.

Cell and atoms, written as POSCAR:
```
PrNd2ErH
1.0
5.083 0.000 0.000
0.000 5.150 0.000
0.000 0.000 5.150
Er Nd H Pr
1 2 1 1
Direct
0.500 0.000 0.000
0.000 0.500 0.000
0.000 0.000 0.500
0.000 0.000 0.000
0.500 0.500 0.500
```

Its total energy is -4.618 eV/atom. The calculation puts the total magnetization at 0.0 μB per formula unit. The calculated density comes out at 7.36 g/cm3.

VASP calculation (PBE) on an optimized crystal structure of Pr2NdErH.

Cell and atoms, written as POSCAR:
```
Pr2NdErH
1.0
-2.806 3.081 2.897
-3.955 -3.327 -0.292
1.722 -2.419 4.240
Pr H Er Nd
2 1 1 1
Direct
0.000 0.500 0.000
0.000 0.000 0.500
0.000 0.000 0.000
0.500 0.000 0.000
0.500 0.500 0.500
```

Its total energy is -4.618 eV/atom. The calculation puts the total magnetization at 0.0 μB per formula unit. The calculated density comes out at 7.26 g/cm3.

VASP calculation (PBE) on an optimized crystal structure of Nd2Er4Tl3H2.

Cell and atoms, written as POSCAR:
```
Nd2Er4Tl3H2
1.0
-0.823 4.229 -2.065
0.993 -1.893 -4.273
-11.889 -4.158 1.752
Tl Nd Er H
3 2 4 2
Direct
0.170 0.170 0.340
0.000 0.000 0.000
0.830 0.830 0.660
0.304 0.304 0.608
0.696 0.696 0.392
0.918 0.418 0.836
0.082 0.582 0.164
0.582 0.082 0.164
0.418 0.918 0.836
0.597 0.597 0.194
0.403 0.403 0.806
```

Its total energy is -4.083 eV/atom. The calculation puts the total magnetization at 0.0 μB per formula unit. The calculated density comes out at 9.33 g/cm3.